1.
A plane-wave DFT calculation with GGA-PBE was carried out for a geometry-optimized CsNaEr2Cl8 structure. Values from VASP.

Structure (Quantum ESPRESSO input):
```
&SYSTEM
  ibrav = 0, nat = 12, ntyp = 4
/
ATOMIC_SPECIES
Cs 132.91 Cs.upf
Na 22.99 Na.upf
Er 167.26 Er.upf
Cl 35.45 Cl.upf
CELL_PARAMETERS angstrom
6.816 0.000 0.000
0.619 7.164 0.000
0.009 0.007 8.281
ATOMIC_POSITIONS angstrom
Cs 0.000 0.000 0.000
Na 0.004 0.004 4.140
Er 3.720 3.584 2.140
Er 3.724 3.587 6.141
Cl 2.362 5.758 2.349
Cl 2.363 5.759 5.930
Cl 2.208 2.622 4.142
Cl 2.277 2.730 0.002
Cl 5.166 4.442 8.279
Cl 5.236 4.549 4.139
Cl 5.080 1.413 2.351
Cl 5.081 1.413 5.932
```

The calculated density comes out at 3179 kg/m³. Its symmetry is P-1. The calculation puts the uncorrected formation energy at -2.12 eV per atom.

---

2.
A plane-wave DFT calculation with GGA-PBE was carried out for a geometry-optimized Rb3Pu3CdSe8 structure. Values from VASP.

Structure (Quantum ESPRESSO input):
```
&SYSTEM
  ibrav = 0, nat = 15, ntyp = 4
/
ATOMIC_SPECIES
Rb 85.47 Rb.upf
Pu 244.00 Pu.upf
Cd 112.41 Cd.upf
Se 78.96 Se.upf
CELL_PARAMETERS angstrom
4.208 2.429 8.063
-4.208 2.429 8.063
0.000 -4.859 8.063
ATOMIC_POSITIONS angstrom
Rb -2.104 -1.215 8.063
Rb -2.104 1.215 16.127
Rb 0.000 2.429 8.063
Pu -4.208 0.000 12.095
Pu -2.104 1.215 4.032
Pu 2.104 1.215 4.032
Cd 0.000 0.000 12.095
Se -2.155 -1.244 13.632
Se 0.000 0.000 5.594
Se 0.000 -2.489 10.558
Se -2.155 1.244 10.558
Se 2.155 -1.244 13.632
Se 0.000 2.489 13.632
Se 0.000 0.000 18.596
Se 2.155 1.244 10.558
```

The calculated density comes out at 5817 kg/m³. Its symmetry is R-3m. The calculation puts the uncorrected formation energy at -1.23 eV per atom.

---

Question: What is the calculated density in the second record?
Answer: 5817 kg/m³